5
Lattice="5.100 0.000 0.000 0.000 5.100 0.000 0.000 0.000 4.909" Properties=species:S:1:pos:R:3 comment="Na2CrInCu, optimized geometry, DFT PBEsol" e_form_ev_per_atom=0.752 energy_ev_per_atom=-3.3200 m_tot_mub_per_fu=4.99 pbc="T T T"
Na 0.000 2.550 0.000
Na 2.550 0.000 0.000
Cr 0.000 0.000 2.455
In 2.550 2.550 2.455
Cu 2.550 2.550 0.000

---

5
Lattice="4.605 0.000 0.000 0.000 4.605 0.000 0.000 0.000 4.975" Properties=species:S:1:pos:R:3 comment="Cr2InCuRh, optimized geometry, DFT PBEsol" e_form_ev_per_atom=1.189 energy_ev_per_atom=-5.9991 m_tot_mub_per_fu=7.06 pbc="T T T"
Cr 0.000 2.303 0.000
Cr 2.303 0.000 0.000
In 0.000 0.000 2.488
Cu 2.303 2.303 2.488
Rh 0.000 0.000 0.000

---

5
Lattice="4.699 0.000 0.000 0.000 4.699 0.000 0.000 0.000 5.076" Properties=species:S:1:pos:R:3 comment="CrInCu2S, optimized geometry, DFT PBEsol" energy_ev_per_atom=-4.0831 e_form_raw_kj_per_mol_atoms=113.1 m_tot_mub_per_fu=4.47 pbc="T T T"
Cr 0.000 0.000 0.000
In 2.349 2.349 2.538
Cu 0.000 2.349 2.538
Cu 2.349 0.000 2.538
S 2.349 2.349 0.000

---

10
Lattice="3.438 0.000 0.000 0.000 3.438 0.000 0.000 0.000 10.982" Properties=species:S:1:pos:R:3 comment="Cr2Cu2Ir, optimized geometry, DFT PBEsol" e_form_ev_per_atom=0.611 energy_ev_per_atom=-7.1844 m_tot_mub_per_fu=0.00 pbc="T T T"
Cr 0.000 0.000 0.945
Cr 0.000 0.000 10.037
Cr 1.719 1.719 4.546
Cr 1.719 1.719 6.436
Cu 0.000 1.719 2.746
Cu 0.000 1.719 8.237
Cu 1.719 0.000 2.746
Cu 1.719 0.000 8.237
Ir 0.000 0.000 5.491
Ir 1.719 1.719 0.000

---

8
Lattice="3.648 0.000 0.000 0.000 3.648 0.000 0.000 0.000 7.748" Properties=species:S:1:pos:R:3 comment="CrCuIr2, optimized geometry, DFT PBEsol" e_form_ev_per_atom=0.056 energy_ev_per_atom=-8.4995 m_tot_mub_per_fu=1.29 pbc="T T T"
Cr 0.000 0.000 0.000
Cr 1.824 1.824 3.874
Cu 0.000 1.824 1.937
Cu 1.824 0.000 5.811
Ir 0.000 0.000 3.874
Ir 0.000 1.824 5.811
Ir 1.824 0.000 1.937
Ir 1.824 1.824 0.000

---

4
Lattice="2.626 0.000 0.000 0.000 4.288 0.000 -0.196 0.000 4.702" Properties=species:S:1:pos:R:3 comment="CrCuIr2, optimized geometry, DFT PBEsol" e_form_ev_per_atom=0.245 energy_ev_per_atom=-8.3110 m_tot_mub_per_fu=1.82 pbc="T T T"
Cr 0.000 0.000 0.000
Cu 1.215 0.000 2.351
Ir 0.520 2.144 3.509
Ir 1.910 2.144 1.192

---

5
Lattice="4.687 0.000 0.000 0.000 4.687 0.000 0.000 0.000 6.055" Properties=species:S:1:pos:R:3 comment="RbCr2CuIr, optimized geometry, DFT PBEsol" e_form_ev_per_atom=1.570 energy_ev_per_atom=-5.5636 m_tot_mub_per_fu=7.07 pbc="T T T"
Rb 0.000 0.000 0.000
Cr 0.000 2.343 3.028
Cr 2.343 0.000 3.028
Cu 2.343 2.343 0.000
Ir 0.000 0.000 3.028

---

10
Lattice="6.577 0.000 0.000 0.000 6.577 0.000 0.000 0.000 6.660" Properties=species:S:1:pos:R:3 comment="K2Cr2Cu, optimized geometry, DFT PBEsol" e_form_ev_per_atom=1.353 energy_ev_per_atom=-4.0640 m_tot_mub_per_fu=0.00 pbc="T T T"
K 0.000 3.289 1.665
K 0.000 3.289 4.995
K 3.289 0.000 1.665
K 3.289 0.000 4.995
Cr 0.000 0.000 0.847
Cr 0.000 0.000 5.813
Cr 3.289 3.289 2.483
Cr 3.289 3.289 4.177
Cu 0.000 0.000 3.330
Cu 3.289 3.289 0.000